# 1
First-principles (PBE) data for a geometry-optimized Pd2Se structure, as listed in the Alexandria database.

Lattice parameters (Å, degrees): 11.395 3.847 9.271 90.00 90.00 90.00
Space group Pnma (No. 62)
Inequivalent atoms, fractional coordinates:
Pd: 0.015 0.250 0.130 x4
Pd: 0.135 0.250 0.403 x4
Pd: 0.174 0.250 0.850 x4
Pd: 0.215 0.750 0.641 x4
Se: 0.019 0.250 0.655 x4
Se: 0.165 0.750 0.039 x4

formation energy from raw total energies: -15.94 kJ per mole of atoms
excess energy over the best structure of this formula in the dataset: 0 meV per atom
total magnetic moment: 0.00 μB per atom

---

# 2
First-principles (PBE) data for a geometry-optimized Pd4Se structure, as listed in the Alexandria database.

Lattice parameters (Å, degrees): 5.309 5.309 5.752 90.00 90.00 90.00
Space group P-42_1c (No. 114)
Inequivalent atoms, fractional coordinates:
Pd: 0.128 0.268 0.155 x8
Se: 0.000 0.000 0.500 x2

formation energy from raw total energies: -14.65 kJ per mole of atoms
excess energy over the best structure of this formula in the dataset: 0 meV per atom
total magnetic moment: 0.00 μB per atom

---

# 3
First-principles (PBE) data for a geometry-optimized PdSe structure, as listed in the Alexandria database.

Lattice parameters (Å, degrees): 8.050 8.120 11.858 90.00 90.00 90.00
Space group Fddd (No. 70, origin choice 2)
Inequivalent atoms, fractional coordinates:
Pd: 0.125 0.125 0.003 x16
Se: 0.125 0.374 0.625 x16

formation energy from raw total energies: -7.37 kJ per mole of atoms
total magnetic moment: 0.00 μB per atom

---

# 4
First-principles (PBE) data for a geometry-optimized PdSe2 structure, as listed in the Alexandria database.

Lattice parameters (Å, degrees): 5.792 5.942 8.475 90.00 90.00 90.00
Space group Pbca (No. 61)
Inequivalent atoms, fractional coordinates:
Pd: 0.000 0.000 0.000 x4
Se: 0.111 0.119 0.413 x8

formation energy from raw total energies: -27.09 kJ per mole of atoms
total magnetic moment: 0.00 μB per atom

---

# 5
First-principles (PBE) data for a geometry-optimized Pd7Se structure, as listed in the Alexandria database.

Lattice parameters (Å, degrees): 2.807 9.113 10.102 90.00 90.00 90.00
Space group Immm (No. 71)
Inequivalent atoms, fractional coordinates:
Pd: 0.000 0.000 0.000 x2
Pd: 0.000 0.000 0.277 x4
Pd: 0.000 0.280 0.367 x8
Se: 0.000 0.500 0.000 x2

formation energy from raw total energies: 8.98 kJ per mole of atoms
total magnetic moment: 0.00 μB per atom

---

# 6
First-principles (PBE) data for a geometry-optimized PdSe structure, as listed in the Alexandria database.

Lattice parameters (Å, degrees): 9.5476 9.5476 4.1235 90.00 90.00 120.00
Space group P6_3/m (No. 176)
Inequivalent atoms, fractional coordinates:
Pd: 0.0449 0.6192 0.2500 x6
Se: 0.1123 0.4002 0.2500 x6

formation energy from raw total energies: -16.26 kJ per mole of atoms
total magnetic moment: 0.00 μB per atom

---

# 7
First-principles (PBE) data for a geometry-optimized PdSe structure, as listed in the Alexandria database.

Lattice parameters (Å, degrees): 7.007 7.007 7.007 90.00 90.00 90.00
Space group Pm-3n (No. 223)
Inequivalent atoms, fractional coordinates:
Pd: 0.000 0.250 0.500 x6
Se: 0.000 0.500 0.250 x6

formation energy from raw total energies: -5.88 kJ per mole of atoms
total magnetic moment: 0.00 μB per atom

---

# 8
First-principles (PBE) data for a geometry-optimized Pd3Se structure, as listed in the Alexandria database.

Lattice parameters (Å, degrees): 3.186 9.059 4.470 90.00 90.00 90.00
Space group Imm2 (No. 44)
Inequivalent atoms, fractional coordinates:
Pd: 0.000 0.000 0.000 x2
Pd: 0.000 0.223 0.500 x4
Se: 0.000 0.500 0.999 x2

formation energy from raw total energies: -9.49 kJ per mole of atoms
total magnetic moment: 0.00 μB per atom

---

- Which of these has the highest formation energy from raw total energies?
  Pd7Se

---

- formation energy from raw total energies of number 4 (PdSe2)?
  -27.09 kJ per mole of atoms

---

- Which value of total magnetic moment does entry 2 give?
  0.00 μB per atom

---

Repeat the first record exactly.
First-principles (PBE) data for a geometry-optimized Pd2Se structure, as listed in the Alexandria database.

Lattice parameters (Å, degrees): 11.395 3.847 9.271 90.00 90.00 90.00
Space group Pnma (No. 62)
Inequivalent atoms, fractional coordinates:
Pd: 0.015 0.250 0.130 x4
Pd: 0.135 0.250 0.403 x4
Pd: 0.174 0.250 0.850 x4
Pd: 0.215 0.750 0.641 x4
Se: 0.019 0.250 0.655 x4
Se: 0.165 0.750 0.039 x4

formation energy from raw total energies: -15.94 kJ per mole of atoms
excess energy over the best structure of this formula in the dataset: 0 meV per atom
total magnetic moment: 0.00 μB per atom